[1]
A geometry-optimized BaRu2Br structure, computed with PBE.

Lattice parameters (Å, degrees): 3.424 3.400 8.392 90.00 101.66 90.00
Atoms (fractional coordinates):
Ba 0.000 0.000 0.000
Ru 0.203 0.000 0.412
Ru 0.650 0.500 0.305
Br 0.369 0.500 0.736

Results
Space group: Pm, No. 6



[2]
A geometry-optimized BaRuBr2 structure, computed with PBE.

Lattice parameters (Å, degrees): 6.273 6.273 6.273 43.99 43.99 43.99
Atoms (fractional coordinates):
Ba 0.000 0.000 0.000
Ru 0.500 0.500 0.500
Br 0.228 0.228 0.228
Br 0.772 0.772 0.772

Results
Space group: R-3m, No. 166



[3]
A geometry-optimized BaRuBr2 structure, computed with PBE.

Lattice parameters (Å, degrees): 6.247 6.247 6.247 143.79 126.91 65.96
Atoms (fractional coordinates):
Ba 0.000 0.000 0.000
Ru 0.500 0.500 0.000
Br 0.339 0.839 0.500
Br 0.661 0.161 0.500

Results
Space group: Immm, No. 71



[4]
A geometry-optimized BaRu2Br structure, computed with PBE.

Lattice parameters (Å, degrees): 3.240 5.468 6.341 90.00 90.00 90.00
Atoms (fractional coordinates):
Ba 0.000 0.000 0.000
Ru 0.500 0.500 0.171
Ru 0.500 0.500 0.829
Br 0.000 0.000 0.500

Results
Space group: Pmmm, No. 47



[5]
A geometry-optimized Ba2RuBr structure, computed with PBE.

Lattice parameters (Å, degrees): 4.409 4.920 6.462 90.00 90.00 90.00
Atoms (fractional coordinates):
Ba 0.000 0.000 0.000
Ba 0.500 0.500 0.451
Ru 0.500 0.500 0.022
Br 0.000 0.000 0.501

Results
Space group: Pmm2, No. 25



[6]
A geometry-optimized BaRu2Br structure, computed with PBE.

Lattice parameters (Å, degrees): 6.063 6.063 5.629 114.21 114.21 36.28
Atoms (fractional coordinates):
Ba 0.000 0.000 0.000
Ru 0.220 0.220 0.580
Ru 0.780 0.780 0.420
Br 0.500 0.500 0.500

Results
Space group: C2/m, No. 12



[7]
A geometry-optimized BaRu2Br structure, computed with PBE.

Lattice parameters (Å, degrees): 3.858 3.858 6.365 90.00 90.00 90.00
Atoms (fractional coordinates):
Ba 0.000 0.000 0.000
Ru 0.500 0.500 0.315
Ru 0.500 0.500 0.685
Br 0.000 0.000 0.500

Results
Space group: P4/mmm, No. 123



[8]
A geometry-optimized BaRuBr2 structure, computed with PBE.

Lattice parameters (Å, degrees): 5.281 5.281 4.079 90.00 90.00 102.95
Atoms (fractional coordinates):
Ba 0.000 0.000 0.000
Ru 0.500 0.500 0.000
Br 0.312 0.688 0.500
Br 0.688 0.312 0.500

Results
Space group: Cmmm, No. 65



[9]
A geometry-optimized BaRu2Br structure, computed with PBE.

Lattice parameters (Å, degrees): 9.153 9.153 9.153 148.20 148.20 45.59
Atoms (fractional coordinates):
Ba 0.375 0.625 0.750
Ba 0.625 0.375 0.250
Ru 0.000 0.000 0.000
Ru 0.000 0.000 0.500
Ru 0.000 0.500 0.000
Ru 0.500 0.000 0.500
Br 0.125 0.875 0.250
Br 0.875 0.125 0.750

Results
Space group: I4_1/amd, No. 141



[10]
A geometry-optimized BaRu2Br structure, computed with PBE.

Lattice parameters (Å, degrees): 3.423 3.423 8.416 90.00 90.00 90.00
Atoms (fractional coordinates):
Ba 0.000 0.000 0.000
Ru 0.000 0.000 0.599
Ru 0.500 0.500 0.699
Br 0.500 0.500 0.250

Results
Space group: P4mm, No. 99



[11]
A geometry-optimized BaRu2Br structure, computed with PBE.

Lattice parameters (Å, degrees): 9.256 9.256 9.256 20.30 20.30 20.30
Atoms (fractional coordinates):
Ba 0.000 0.000 0.000
Ru 0.237 0.237 0.237
Ru 0.763 0.763 0.763
Br 0.500 0.500 0.500

Results
Space group: R-3m, No. 166



[12]
A geometry-optimized BaRuBr structure, computed with PBE.

Lattice parameters (Å, degrees): 5.477 5.477 5.477 60.00 60.00 60.00
Atoms (fractional coordinates):
Ba 0.000 0.000 0.000
Ru 0.750 0.750 0.750
Br 0.250 0.250 0.250

Results
Space group: F-43m, No. 216



[13]
A geometry-optimized BaRuBr2 structure, computed with PBE.

Lattice parameters (Å, degrees): 8.924 8.924 8.924 143.38 143.38 52.75
Atoms (fractional coordinates):
Ba 0.000 0.000 0.000
Ba 0.750 0.250 0.500
Ru 0.250 0.750 0.500
Ru 0.500 0.500 0.000
Br 0.228 0.625 0.103
Br 0.375 0.478 0.603
Br 0.522 0.125 0.897
Br 0.875 0.772 0.397

Results
Space group: I-42d, No. 122



[14]
A geometry-optimized Ba2RuBr structure, computed with PBE.

Lattice parameters (Å, degrees): 8.916 8.916 8.916 28.97 28.97 28.97
Atoms (fractional coordinates):
Ba 0.240 0.240 0.240
Ba 0.760 0.760 0.760
Ru 0.500 0.500 0.500
Br 0.000 0.000 0.000

Results
Space group: R-3m, No. 166



[15]
A geometry-optimized BaRu2Br structure, computed with PBE.

Lattice parameters (Å, degrees): 5.005 5.005 5.005 117.28 117.28 94.77
Atoms (fractional coordinates):
Ba 0.000 0.000 0.000
Ru 0.500 0.500 0.000
Ru 0.750 0.250 0.500
Br 0.250 0.750 0.500

Results
Space group: I-4m2, No. 119



[16]
A geometry-optimized BaRuBr2 structure, computed with PBE.

Lattice parameters (Å, degrees): 6.687 6.687 6.687 141.13 141.13 56.14
Atoms (fractional coordinates):
Ba 0.000 0.000 0.000
Ru 0.750 0.250 0.500
Br 0.250 0.750 0.500
Br 0.500 0.500 0.000

Results
Space group: I-4m2, No. 119



[17]
A geometry-optimized BaRuBr structure, computed with PBE.

Lattice parameters (Å, degrees): 4.423 4.423 4.643 90.00 90.00 120.00
Atoms (fractional coordinates):
Ba 0.000 0.000 0.000
Ru 0.333 0.667 0.500
Br 0.667 0.333 0.500

Results
Space group: P-6m2, No. 187



[18]
A geometry-optimized Ba2RuBr structure, computed with PBE.

Lattice parameters (Å, degrees): 7.565 7.565 7.565 118.07 118.07 93.37
Atoms (fractional coordinates):
Ba 0.056 0.125 0.431
Ba 0.375 0.944 0.069
Ba 0.694 0.625 0.569
Ba 0.875 0.306 0.931
Ru 0.000 0.000 0.000
Ru 0.750 0.250 0.500
Br 0.250 0.750 0.500
Br 0.500 0.500 0.000

Results
Space group: I-42d, No. 122



[19]
A geometry-optimized BaRuBr structure, computed with PBE.

Lattice parameters (Å, degrees): 6.438 6.087 3.938 76.60 66.89 36.52
Atoms (fractional coordinates):
Ba 0.000 0.000 0.000
Ru 0.310 0.310 0.690
Br 0.719 0.719 0.281

Results
Space group: Fmm2, No. 42



[20]
A geometry-optimized BaRu2Br structure, computed with PBE.

Lattice parameters (Å, degrees): 4.438 4.812 4.949 90.00 95.84 90.00
Atoms (fractional coordinates):
Ba 0.000 0.000 0.000
Ru 0.257 0.500 0.592
Ru 0.743 0.500 0.408
Br 0.500 0.000 0.500

Results
Space group: P2/m, No. 10



[21]
A geometry-optimized BaRu3Br structure, computed with PBE.

Lattice parameters (Å, degrees): 5.206 5.206 5.206 90.00 90.00 90.00
Atoms (fractional coordinates):
Ba 0.000 0.000 0.000
Ru 0.000 0.000 0.500
Ru 0.000 0.500 0.000
Ru 0.500 0.000 0.000
Br 0.500 0.500 0.500

Results
Space group: Pm-3m, No. 221



[22]
A geometry-optimized Ba2RuBr structure, computed with PBE.

Lattice parameters (Å, degrees): 7.068 7.068 7.068 142.38 142.38 54.25
Atoms (fractional coordinates):
Ba 0.000 0.000 0.000
Ba 0.750 0.250 0.500
Ru 0.500 0.500 0.000
Br 0.250 0.750 0.500

Results
Space group: I-4m2, No. 119



[23]
A geometry-optimized Ba2RuBr structure, computed with PBE.

Lattice parameters (Å, degrees): 5.655 5.655 5.655 60.00 60.00 60.00
Atoms (fractional coordinates):
Ba 0.250 0.250 0.250
Ba 0.750 0.750 0.750
Ru 0.000 0.000 0.000
Br 0.500 0.500 0.500

Results
Space group: Fm-3m, No. 225



[24]
A geometry-optimized BaRuBr2 structure, computed with PBE.

Lattice parameters (Å, degrees): 9.163 9.163 9.163 25.74 25.74 25.74
Atoms (fractional coordinates):
Ba 0.000 0.000 0.000
Ru 0.500 0.500 0.500
Br 0.122 0.122 0.122
Br 0.878 0.878 0.878

Results
Space group: R-3m, No. 166



[25]
A geometry-optimized BaRuBr2 structure, computed with PBE.

Lattice parameters (Å, degrees): 5.485 5.485 5.485 60.00 60.00 60.00
Atoms (fractional coordinates):
Ba 0.000 0.000 0.000
Ru 0.750 0.750 0.750
Br 0.250 0.250 0.250
Br 0.500 0.500 0.500

Results
Space group: F-43m, No. 216



[26]
A geometry-optimized BaRu2Br structure, computed with PBE.

Lattice parameters (Å, degrees): 5.856 5.856 5.856 142.06 117.95 75.09
Atoms (fractional coordinates):
Ba 0.000 0.000 0.000
Ru 0.513 0.513 0.000
Ru 0.657 0.157 0.500
Br 0.303 0.803 0.500

Results
Space group: Imm2, No. 44



[27]
A geometry-optimized BaRu2Br structure, computed with PBE.

Lattice parameters (Å, degrees): 4.044 4.044 7.653 101.72 101.72 58.63
Atoms (fractional coordinates):
Ba 0.000 0.000 0.000
Ru 0.242 0.242 0.609
Ru 0.596 0.596 0.701
Br 0.755 0.755 0.322

Results
Space group: Cm, No. 8



[28]
A geometry-optimized Ba2RuBr structure, computed with PBE.

Lattice parameters (Å, degrees): 5.539 5.539 5.539 60.00 60.00 60.00
Atoms (fractional coordinates):
Ba 0.000 0.000 0.000
Ba 0.250 0.250 0.250
Ru 0.750 0.750 0.750
Br 0.500 0.500 0.500

Results
Space group: F-43m, No. 216



[29]
A geometry-optimized Ba3RuBr structure, computed with PBE.

Lattice parameters (Å, degrees): 6.062 6.062 6.062 90.00 90.00 90.00
Atoms (fractional coordinates):
Ba 0.000 0.000 0.500
Ba 0.000 0.500 0.000
Ba 0.500 0.000 0.000
Ru 0.500 0.500 0.500
Br 0.000 0.000 0.000

Results
Space group: Pm-3m, No. 221



[30]
A geometry-optimized Ba4RuBr structure, computed with PBE.

Lattice parameters (Å, degrees): 7.105 7.105 7.105 60.00 60.00 60.00
Atoms (fractional coordinates):
Ba 0.376 0.376 0.376
Ba 0.376 0.376 0.872
Ba 0.376 0.872 0.376
Ba 0.872 0.376 0.376
Ru 0.750 0.750 0.750
Br 0.000 0.000 0.000

Results
Space group: F-43m, No. 216



| no. | ΔE_f (raw) (eV per atom) |
| --- | --- |
| 1 | 0.183 |
| 2 | -0.448 |
| 3 | -0.575 |
| 4 | 0.843 |
| 5 | -0.354 |
| 6 | 0.377 |
| 7 | 0.990 |
| 8 | -0.438 |
| 9 | 0.395 |
| 10 | 0.203 |
| 11 | 1.172 |
| 12 | 0.548 |
| 13 | -0.325 |
| 14 | -0.357 |
| 15 | 0.837 |
| 16 | -0.166 |
| 17 | -0.038 |
| 18 | -0.218 |
| 19 | 0.257 |
| 20 | 0.443 |
| 21 | 2.536 |
| 22 | -0.056 |
| 23 | -0.197 |
| 24 | -0.014 |
| 25 | 0.056 |
| 26 | 0.350 |
| 27 | 0.034 |
| 28 | 0.297 |
| 29 | 0.325 |
| 30 | 0.667 |